[1]
Here is a relaxed structure of LuSbPO from the Open Quantum Materials Database. Energies are from PBE-GGA.

Lattice parameters (Å, degrees): 3.647 6.567 8.040 90.00 90.00 90.00
Fractional positions:
Lu1 0.000 0.178 0.479
Lu2 0.000 0.822 0.979
O1 0.500 0.304 0.432
O2 0.500 0.696 0.932
P1 0.000 0.798 0.320
P2 0.000 0.202 0.820
Sb1 0.500 0.288 0.022
Sb2 0.500 0.712 0.522

Summary:
Electronic total energy = -5.9687 eV/atom
V = 24.1 Å³ per atom


[2]
Here is a relaxed structure of GdCuSbP from the Open Quantum Materials Database. Energies are from PBE-GGA.

Lattice parameters (Å, degrees): 4.063 4.063 9.798 90.00 90.00 90.00
Fractional positions:
Cu1 0.000 0.000 0.500
Cu2 0.500 0.500 0.500
Gd1 0.500 0.000 0.263
Gd2 0.000 0.500 0.737
P1 0.000 0.500 0.357
P2 0.500 0.000 0.643
Sb1 0.000 0.000 0.000
Sb2 0.500 0.500 0.000

Summary:
Electronic total energy = -5.2084 eV/atom
V = 20.2 Å³ per atom